The following is a GGA-PBE calculation of SmCuSeO after structural relaxation, from Alexandria.

a b c (Å): 3.970 3.970 8.784
angles (deg): 90.00 90.00 90.00
Sites, in units of the cell vectors:
Sm (0.250, 0.250, 0.134)
Sm (0.750, 0.750, 0.866)
Cu (0.250, 0.750, 0.500)
Cu (0.750, 0.250, 0.500)
Se (0.250, 0.250, 0.677)
Se (0.750, 0.750, 0.323)
O (0.250, 0.750, 0.000)
O (0.750, 0.250, 0.000)

Calculated values
- Raw formation energy: -1.95 eV per atom